# Li7Mn2Co3O12

A geometry-optimized Li7Mn2Co3O12 structure (PBE+U, Alexandria).

Calculated values
- energy relative to the lowest polymorph listed for this composition (eV per atom) = 0.029

a = 5.776 Å, b = 5.917 Å, c = 7.727 Å
α = 100.54°, β = 101.22°, γ = 119.13°
Fractional coordinates of all 24 atoms:
Li  0.000  0.000  0.000
Li  0.002  0.833  0.320
Li  0.011  0.679  0.649
Li  0.494  0.322  0.306
Li  0.506  0.000  0.989
Li  0.514  0.678  0.651
Li  0.992  0.319  0.303
Mn  0.013  0.178  0.649
Mn  0.514  0.181  0.649
Co  0.022  0.521  0.001
Co  0.506  0.834  0.318
Co  0.518  0.507  0.999
O  0.250  0.410  0.149
O  0.250  0.888  0.148
O  0.253  0.555  0.819
O  0.260  0.094  0.794
O  0.265  0.258  0.504
O  0.300  0.807  0.489
O  0.725  0.895  0.156
O  0.740  0.409  0.138
O  0.747  0.564  0.817
O  0.770  0.805  0.492
O  0.771  0.268  0.505
O  0.772  0.116  0.806